# TbTmCu | Alexandria | PBE | relaxed
data_TbTmCu
_chemical_formula_sum 'Tb4 Tm4 Cu4'
_cell_length_a 6.9033
_cell_length_b 4.8666
_cell_length_c 8.6257
_cell_angle_alpha 90.00
_cell_angle_beta 90.00
_cell_angle_gamma 90.00
_space_group_name_H-M_alt 'P n m a'
_space_group_IT_number 62
_space_group_name_Hall '-P 2ac 2n'
loop_
_atom_site_label
_atom_site_type_symbol
_atom_site_fract_x
_atom_site_fract_y
_atom_site_fract_z
Tb1 Tb 0.0164 0.2500 0.1741
Tm1 Tm 0.1427 0.2500 0.5832
Cu1 Cu 0.2457 0.2500 0.9000
# Offset from the most stable computed form = 0.000 eV per atom
# Calculated formation energy = -0.171 eV/atom